GaHgMoF2 after structural relaxation. Source: the Alexandria database, functional GGA+U.

POSCAR file:
```
GaHgMoF2
1.0
-2.8848 -1.9128 -2.7753
4.2806 -1.4575 -3.4450
0.4476 -3.8380 2.1799
F Hg Mo Ga
2 1 1 1
Direct
0.0000 0.0000 0.5000
0.5000 0.0000 0.0000
0.0000 0.0000 0.0000
0.5000 0.5000 0.5000
0.0000 0.5000 0.0000
```

Computed properties:
The space group is P4/mmm, No. 123. The final energy comes out at -2.964 eV/atom.